(1)
VASP calculation (PBE-GGA) on a relaxed La6HgPt3 crystal.

a b c (Å): 4.2824 12.5199 12.4998
angles (deg): 108.71 90.00 90.00
With the nearest neighbours (Å) after each atom.
Element x y z (fractional)
La (0.7500, 0.4750, 0.6109)  3 Pt 2.92-2.94
La (0.2500, 0.5250, 0.3891)  3 Pt 2.92-2.94
La (0.7500, 0.9261, 0.0966)  3 Pt 2.96-2.97
La (0.2500, 0.0739, 0.9034)  3 Pt 2.96-2.97
La (0.7500, 0.3873, 0.0511)  4 Pt 2.95-3.03
La (0.2500, 0.6127, 0.9489)  4 Pt 2.95-3.03
La (0.7500, 0.7121, 0.2633)  3 Pt 2.96-3.08
La (0.2500, 0.2879, 0.7367)  3 Pt 2.96-3.08
La (0.7500, 0.1380, 0.4612)  2 Pt 3.04, 3 Hg 3.36-3.37
La (0.2500, 0.8620, 0.5388)  2 Pt 3.04, 3 Hg 3.36-3.37
La (0.7500, 0.7914, 0.7601)  3 Pt 2.90-3.12
La (0.2500, 0.2086, 0.2399)  3 Pt 2.90-3.12
Hg (0.7500, 0.0593, 0.6944)  8 La 3.34-3.70
Hg (0.2500, 0.9407, 0.3056)  8 La 3.34-3.70
Pt (0.7500, 0.4530, 0.8383)  6 La 2.94-3.03
Pt (0.2500, 0.5470, 0.1617)  6 La 2.94-3.03
Pt (0.7500, 0.6812, 0.4980)  6 La 2.92-3.12
Pt (0.2500, 0.3188, 0.5020)  6 La 2.92-3.12
Pt (0.7500, 0.1546, 0.0748)  6 La 2.90-3.02
Pt (0.2500, 0.8454, 0.9252)  6 La 2.90-3.02

Values from the calculation:
**VASP energy**: -5.610 eV/atom
**Space group**: P2_1/m, No. 11
**E_form**: -0.811 eV/atom


(2)
VASP calculation (PBE-GGA) on a relaxed La2HgPt2 crystal.

a b c (Å): 4.0637 4.0637 8.6133
angles (deg): 76.36 76.36 90.00
With the nearest neighbours (Å) after each atom.
Element x y z (fractional)
Hg (0.0000, 0.0000, 0.0000)  8 La 3.47
Pt (0.7500, 0.2500, 0.5000)  4 Pt 2.87, 4 La 2.93
Pt (0.2500, 0.7500, 0.5000)  4 Pt 2.87, 4 La 2.93
La (0.3804, 0.3804, 0.2392)  4 Pt 2.93
La (0.6196, 0.6196, 0.7608)  4 Pt 2.93

Values from the calculation:
**VASP energy**: -5.201 eV/atom
**Space group**: I4/mmm, No. 139
**E_form**: -0.754 eV/atom


(3)
VASP calculation (PBE-GGA) on a relaxed La8Hg2Pt crystal.

a b c (Å): 5.5848 7.2529 9.6929
angles (deg): 112.00 106.74 90.00
With the nearest neighbours (Å) after each atom.
Element x y z (fractional)
La (0.6290, 0.8616, 0.2579)  1 Pt 2.94
La (0.3710, 0.6038, 0.7421)  1 Pt 2.93
La (0.2021, 0.2021, 0.4041)  6 La 3.34-3.62, 4 Hg 3.39-3.64
La (0.0000, 0.2433, 0.0000)  2 Pt 3.30, 5 La 3.53-3.56, 2 Hg 3.67
La (0.7979, 0.7979, 0.5959)  6 La 3.34-3.62, 4 Hg 3.39-3.64
La (0.6290, 0.3962, 0.2579)  1 Pt 2.93
La (0.3710, 0.1384, 0.7421)  1 Pt 2.94
La (0.0000, 0.7567, 0.0000)  2 Pt 3.30, 5 La 3.53-3.56, 2 Hg 3.67
Hg (0.1852, 0.6852, 0.3704)  12 La 3.39-3.72
Hg (0.8148, 0.3148, 0.6296)  12 La 3.39-3.72
Pt (0.5000, 0.0000, 0.0000)  4 La 2.93-2.94

Values from the calculation:
**VASP energy**: -4.505 eV/atom
**Space group**: Immm, No. 71
**E_form**: -0.317 eV/atom


(4)
VASP calculation (PBE-GGA) on a relaxed La2Hg2Pt crystal.

a b c (Å): 7.7594 7.7594 5.0386
angles (deg): 90.00 90.00 90.00
With the nearest neighbours (Å) after each atom.
Element x y z (fractional)
Hg (0.1392, 0.6392, 0.5000)  1 Hg 3.05, 2 La 3.27
Hg (0.6392, 0.8608, 0.5000)  1 Hg 3.05, 2 La 3.27
Hg (0.8608, 0.3608, 0.5000)  1 Hg 3.05, 2 La 3.27
Hg (0.3608, 0.1392, 0.5000)  1 Hg 3.05, 2 La 3.27
Pt (0.0000, 0.0000, 0.0000)  4 La 2.88
Pt (0.5000, 0.5000, 0.0000)  4 La 2.88
La (0.3285, 0.8285, 0.0000)  2 Pt 2.88
La (0.8285, 0.6715, 0.0000)  2 Pt 2.88
La (0.6715, 0.1715, 0.0000)  2 Pt 2.88
La (0.1715, 0.3285, 0.0000)  2 Pt 2.88

Values from the calculation:
**VASP energy**: -3.743 eV/atom
**Space group**: P4/mbm, No. 127
**E_form**: -0.444 eV/atom


(5)
VASP calculation (PBE-GGA) on a relaxed La2HgPt crystal.

a b c (Å): 4.3038 4.3038 8.1456
angles (deg): 74.67 74.67 59.97
With the nearest neighbours (Å) after each atom.
Element x y z (fractional)
La (0.0692, 0.0692, 0.7920)  3 Pt 2.97
La (0.2649, 0.2649, 0.2055)  3 Pt 2.94
Hg (0.5000, 0.5000, 0.5002)  6 La 3.36-3.38
Pt (0.6659, 0.6659, 0.0023)  6 La 2.94-2.97

Values from the calculation:
**VASP energy**: -4.852 eV/atom
**Space group**: R3m, No. 160
**E_form**: -0.803 eV/atom


(6)
VASP calculation (PBE-GGA) on a relaxed LaHgPt crystal.

a b c (Å): 4.0598 7.9516 13.6184
angles (deg): 90.00 90.00 90.00
With the nearest neighbours (Å) after each atom.
Element x y z (fractional)
La (0.0000, 0.2331, 0.9502)  5 Pt 3.11-3.21, 6 Hg 3.42-3.43
La (0.0000, 0.7669, 0.0498)  5 Pt 3.11-3.21, 6 Hg 3.42-3.43
La (0.0000, 0.2331, 0.5498)  5 Pt 3.11-3.21, 6 Hg 3.42-3.43
La (0.0000, 0.7669, 0.4502)  5 Pt 3.11-3.21, 6 Hg 3.42-3.43
La (0.0000, 0.1682, 0.2500)  5 Pt 3.04-3.12
La (0.0000, 0.8318, 0.7500)  5 Pt 3.04-3.12
Hg (0.5000, 0.4374, 0.1137)  3 Pt 2.92-2.93, 1 Hg 3.25
Hg (0.5000, 0.5626, 0.8863)  3 Pt 2.92-2.93, 1 Hg 3.25
Hg (0.5000, 0.4374, 0.3863)  3 Pt 2.92-2.93, 1 Hg 3.25
Hg (0.5000, 0.5626, 0.6137)  3 Pt 2.92-2.93, 1 Hg 3.25
Hg (0.5000, 0.8155, 0.2500)  4 Pt 2.87-2.93
Hg (0.5000, 0.1845, 0.7500)  4 Pt 2.87-2.93
Pt (0.5000, 0.0697, 0.0946)  1 Pt 2.81, 2 Hg 2.93, 4 La 3.04-3.11
Pt (0.5000, 0.9303, 0.9054)  1 Pt 2.81, 2 Hg 2.93, 4 La 3.04-3.11
Pt (0.5000, 0.0697, 0.4054)  1 Pt 2.81, 2 Hg 2.93, 4 La 3.04-3.11
Pt (0.5000, 0.9303, 0.5946)  1 Pt 2.81, 2 Hg 2.93, 4 La 3.04-3.11
Pt (0.0000, 0.5608, 0.2500)  6 Hg 2.87-2.92, 3 La 3.12-3.18
Pt (0.0000, 0.4392, 0.7500)  6 Hg 2.87-2.92, 3 La 3.12-3.18

Values from the calculation:
**VASP energy**: -4.607 eV/atom
**Space group**: Pmma, No. 51
**E_form**: -0.850 eV/atom


(7)
VASP calculation (PBE-GGA) on a relaxed La7Hg2Pt2 crystal.

a b c (Å): 7.1666 7.3721 7.1666
angles (deg): 89.99 107.90 90.01
With the nearest neighbours (Å) after each atom.
Element x y z (fractional)
La (0.0000, 0.2614, 0.5000)  2 Pt 2.89
La (0.5000, 0.7386, 0.0000)  2 Pt 2.89
La (0.0000, 0.7386, 0.5000)  2 Pt 2.89
La (0.5000, 0.2614, 0.0000)  2 Pt 2.89
La (0.0000, 0.0000, 0.0000)  2 Pt 3.35
La (0.5000, 0.7462, 0.5000)  2 Pt 3.08, 2 Hg 3.31
La (0.5000, 0.2538, 0.5000)  2 Pt 3.08, 2 Hg 3.31
Hg (0.8285, 0.5000, 0.8285)  1 Hg 2.89
Hg (0.1715, 0.5000, 0.1715)  1 Hg 2.89
Pt (0.7109, 0.0000, 0.2891)  6 La 2.89-3.08
Pt (0.2891, 0.0000, 0.7109)  6 La 2.89-3.08

Values from the calculation:
**VASP energy**: -4.818 eV/atom
**Space group**: Cmmm, No. 65
**E_form**: -0.529 eV/atom


(8)
VASP calculation (PBE-GGA) on a relaxed La2Hg2Pt crystal.

a b c (Å): 7.6403 7.6403 4.5850
angles (deg): 90.00 90.00 90.00
With the nearest neighbours (Å) after each atom.
Element x y z (fractional)
Hg (0.3632, 0.8632, 0.0000)  1 Hg 2.96, 2 Pt 2.97, 6 La 3.11-3.28
Hg (0.8632, 0.6368, 0.0000)  1 Hg 2.96, 2 Pt 2.97, 6 La 3.11-3.28
Hg (0.6368, 0.1368, 0.0000)  1 Hg 2.96, 2 Pt 2.97, 6 La 3.11-3.28
Hg (0.1368, 0.3632, 0.0000)  1 Hg 2.96, 2 Pt 2.97, 6 La 3.11-3.28
Pt (0.0000, 0.0000, 0.0000)  4 Hg 2.97
Pt (0.5000, 0.5000, 0.0000)  4 Hg 2.97
La (0.1689, 0.6689, 0.5000)  6 Hg 3.11-3.28
La (0.6689, 0.8311, 0.5000)  6 Hg 3.11-3.28
La (0.8311, 0.3311, 0.5000)  6 Hg 3.11-3.28
La (0.3311, 0.1689, 0.5000)  6 Hg 3.11-3.28

Values from the calculation:
**VASP energy**: -3.756 eV/atom
**Space group**: P4/mbm, No. 127
**E_form**: -0.457 eV/atom